Entry A
PmSm4Dy2: relaxed, PBE-GGA.

```
PmSm4Dy2
1.0
6.1609 0.0000 0.0000
0.0000 6.6432 0.0000
-2.9988 0.0000 11.3385
Pm Sm Dy
2 8 4
Direct
0.0075 0.2500 0.3469
0.9925 0.7500 0.6531
0.1580 0.2500 0.6489
0.2932 0.7500 0.9407
0.3592 0.0000 0.2128
0.3592 0.5000 0.2128
0.6408 0.0000 0.7872
0.6408 0.5000 0.7872
0.7068 0.2500 0.0593
0.8420 0.7500 0.3511
0.1455 0.2500 0.9364
0.4000 0.7500 0.4993
0.6000 0.2500 0.5007
0.8545 0.7500 0.0636
```

Summary:
D(E_F) in states/eV/cell: 22.3

---

Entry B
PmSm4Dy2: relaxed, PBE-GGA.

```
PmSm4Dy2
1.0
-1.7842 2.8885 11.4886
1.7842 -2.8885 11.4886
1.7842 2.8885 -11.4886
Pm Sm Dy
1 4 2
Direct
0.0000 0.0000 0.0000
0.1376 0.6376 0.5000
0.4126 0.9126 0.5000
0.5874 0.0874 0.5000
0.8624 0.3624 0.5000
0.2745 0.2745 0.0000
0.7255 0.7255 0.0000
```

Summary:
D(E_F) in states/eV/cell: 10.6

---

What should be chosen as the least stable of them? Choose entry A.

---

Entry A
Pm12Sm6Dy: relaxed, PBE-GGA.

```
Pm12Sm6Dy
1.0
6.1034 3.5238 5.0986
-6.1034 3.5238 5.0986
0.0000 -7.0476 5.0986
Pm Sm Dy
12 6 1
Direct
0.0171 0.3597 0.1949
0.1949 0.0171 0.3597
0.2211 0.5652 0.4633
0.3597 0.1949 0.0171
0.4348 0.5367 0.7789
0.4633 0.2211 0.5652
0.5367 0.7789 0.4348
0.5652 0.4633 0.2211
0.6403 0.8051 0.9829
0.7789 0.4348 0.5367
0.8051 0.9829 0.6403
0.9829 0.6403 0.8051
0.0955 0.2615 0.6987
0.2615 0.6987 0.0955
0.3013 0.9045 0.7385
0.6987 0.0955 0.2615
0.7385 0.3013 0.9045
0.9045 0.7385 0.3013
0.0000 0.0000 0.0000
```

Summary:
D(E_F) in states/eV/cell: 30.8

---

Entry B
Pm12Sm6Dy: relaxed, PBE-GGA.

```
Pm12Sm6Dy
1.0
8.2089 4.7394 2.8501
-8.2089 4.7394 2.8501
0.0000 -9.4789 2.8501
Pm Sm Dy
12 6 1
Direct
0.0000 0.3808 0.6192
0.0000 0.6192 0.3808
0.2297 0.2297 0.5914
0.2297 0.5914 0.2297
0.3808 0.0000 0.6192
0.3808 0.6192 0.0000
0.4086 0.7703 0.7703
0.5914 0.2297 0.2297
0.6192 0.0000 0.3808
0.6192 0.3808 0.0000
0.7703 0.4086 0.7703
0.7703 0.7703 0.4086
0.0203 0.7697 0.7697
0.2303 0.2303 0.9797
0.2303 0.9797 0.2303
0.7697 0.0203 0.7697
0.7697 0.7697 0.0203
0.9797 0.2303 0.2303
0.5000 0.5000 0.5000
```

Summary:
D(E_F) in states/eV/cell: 32.8

---

What should be chosen as the least stable of them? Choose entry B.

---

Entry A
Pm2SmDy8: relaxed, PBE-GGA.

```
Pm2SmDy8
1.0
-2.7709 4.0597 8.0048
2.7709 -4.0597 8.0048
2.7709 4.0597 -8.0048
Pm Sm Dy
2 1 8
Direct
0.2004 0.2004 0.0000
0.7996 0.7996 0.0000
0.5000 0.5000 0.0000
0.0698 0.3624 0.7074
0.2067 0.0000 0.2067
0.3390 0.8390 0.5000
0.3450 0.6376 0.7074
0.6550 0.3624 0.2926
0.6610 0.1610 0.5000
0.7933 0.0000 0.7933
0.9302 0.6376 0.2926
```

Summary:
D(E_F) in states/eV/cell: 15.3

---

Entry B
Pm2SmDy8: relaxed, PBE-GGA.

```
Pm2SmDy8
1.0
9.4766 -3.5079 0.0000
9.4766 3.5079 0.0000
-0.2760 0.0000 5.5723
Pm Sm Dy
2 1 8
Direct
0.2158 0.2158 0.2523
0.7842 0.7842 0.7477
0.5000 0.5000 0.0000
0.0458 0.0458 0.2372
0.1030 0.6362 0.2668
0.3137 0.3137 0.7668
0.3638 0.8970 0.7332
0.6362 0.1030 0.2668
0.6863 0.6863 0.2332
0.8970 0.3638 0.7332
0.9542 0.9542 0.7628
```

Summary:
D(E_F) in states/eV/cell: 17.8

---

What should be chosen as the least stable of them? Choose entry B.

---

Entry A
Pm12Sm7Dy: relaxed, PBE-GGA.

```
Pm12Sm7Dy
1.0
9.4140 5.4352 2.2942
-9.4140 5.4352 2.2942
0.0000 -10.8704 2.2942
Pm Sm Dy
12 7 1
Direct
0.0006 0.7868 0.5728
0.2132 0.4272 0.9994
0.2293 0.7520 0.2956
0.2480 0.7044 0.7707
0.2956 0.2293 0.7520
0.4272 0.9994 0.2132
0.5728 0.0006 0.7868
0.7044 0.7707 0.2480
0.7520 0.2956 0.2293
0.7707 0.2480 0.7044
0.7868 0.5728 0.0006
0.9994 0.2132 0.4272
0.0000 0.0000 0.0000
0.1217 0.4264 0.2836
0.2836 0.1217 0.4264
0.4264 0.2836 0.1217
0.5736 0.7164 0.8783
0.7164 0.8783 0.5736
0.8783 0.5736 0.7164
0.5000 0.5000 0.5000
```

Summary:
D(E_F) in states/eV/cell: 24.5

---

Entry B
Pm12Sm7Dy: relaxed, PBE-GGA.

```
Pm12Sm7Dy
1.0
6.7656 3.9061 4.2885
-6.7656 3.9061 4.2885
0.0000 -7.8123 4.2885
Pm Sm Dy
12 7 1
Direct
0.0000 0.2598 0.7402
0.0000 0.7402 0.2598
0.1584 0.5924 0.5924
0.2598 0.0000 0.7402
0.2598 0.7402 0.0000
0.4076 0.4076 0.8416
0.4076 0.8416 0.4076
0.5924 0.1584 0.5924
0.5924 0.5924 0.1584
0.7402 0.0000 0.2598
0.7402 0.2598 0.0000
0.8416 0.4076 0.4076
0.1438 0.1438 0.4097
0.1438 0.4097 0.1438
0.4097 0.1438 0.1438
0.5000 0.5000 0.5000
0.5903 0.8562 0.8562
0.8562 0.5903 0.8562
0.8562 0.8562 0.5903
0.0000 0.0000 0.0000
```

Summary:
D(E_F) in states/eV/cell: 33.1

---

What should be chosen as the least stable of them? Choose entry A.

---

Entry A
PmSmDy3: relaxed, PBE-GGA.

```
PmSmDy3
1.0
6.1991 0.0000 0.0000
1.0340 6.1193 0.0000
3.0789 2.6230 8.5547
Pm Sm Dy
2 2 6
Direct
0.2492 0.0496 0.1496
0.7508 0.9504 0.8504
0.2505 0.4501 0.3508
0.7495 0.5499 0.6492
0.2502 0.2504 0.7497
0.2504 0.6487 0.9491
0.2500 0.8510 0.5507
0.7500 0.1490 0.4493
0.7496 0.3513 0.0509
0.7498 0.7496 0.2503
```

Summary:
D(E_F) in states/eV/cell: 14.0

---

Entry B
PmSmDy3: relaxed, PBE-GGA.

```
PmSmDy3
1.0
3.6257 0.0000 0.0000
0.0000 11.6427 0.0000
-1.8029 0.0000 8.4185
Pm Sm Dy
2 2 6
Direct
0.1887 0.2500 0.3794
0.8113 0.7500 0.6206
0.4877 0.7500 0.9673
0.5123 0.2500 0.0327
0.1508 0.7500 0.2970
0.3429 0.0017 0.6876
0.3429 0.4983 0.6876
0.6571 0.5017 0.3124
0.6571 0.9983 0.3124
0.8492 0.2500 0.7030
```

Summary:
D(E_F) in states/eV/cell: 15.8

---

What should be chosen as the least stable of them? Choose entry B.

---

Entry A
Pm4SmDy2: relaxed, PBE-GGA.

```
Pm4SmDy2
1.0
6.1924 0.0000 0.0000
0.0000 6.6506 0.0000
-3.0620 0.0000 11.3517
Pm Sm Dy
8 2 4
Direct
0.0206 0.2500 0.3560
0.1492 0.2500 0.9458
0.3525 0.5047 0.2136
0.3525 0.9953 0.2136
0.6475 0.0047 0.7864
0.6475 0.4953 0.7864
0.8508 0.7500 0.0542
0.9794 0.7500 0.6440
0.1553 0.2500 0.6575
0.8447 0.7500 0.3425
0.2897 0.7500 0.9309
0.3992 0.7500 0.5027
0.6008 0.2500 0.4973
0.7103 0.2500 0.0691
```

Summary:
D(E_F) in states/eV/cell: 21.6

---

Entry B
Pm4SmDy2: relaxed, PBE-GGA.

```
Pm4SmDy2
1.0
0.0000 12.1384 3.2382
6.0032 0.0000 3.2382
6.0032 12.1384 0.0000
Pm Sm Dy
8 2 4
Direct
0.0208 0.9792 0.1213
0.1287 0.3713 0.2292
0.3713 0.1287 0.2708
0.4492 0.6064 0.2636
0.5692 0.9864 0.6436
0.6064 0.4492 0.6808
0.9792 0.0208 0.8787
0.9864 0.5692 0.8008
0.4897 0.4897 0.5103
0.7397 0.7397 0.7603
0.0597 0.5423 0.0095
0.2405 0.8615 0.1903
0.5423 0.0597 0.3885
0.8615 0.2405 0.7077
```

Summary:
D(E_F) in states/eV/cell: 21.1

---

What should be chosen as the least stable of them? Choose entry A.